(1)
! MgZr2Cu PBE optimized geometry; values from VASP
! M_tot = 0.0 μB per formula unit
! Space-group type = No. 123
! E_form = 0.00 eV/atom
&SYSTEM
  ibrav = 0, nat = 4, ntyp = 3
/
ATOMIC_SPECIES
Mg 24.30 Mg.upf
Zr 91.22 Zr.upf
Cu 63.55 Cu.upf
ATOMIC_POSITIONS angstrom
Mg 3.9327 -1.0704 5.2369
Zr 0.2130 -0.0573 0.1427
Zr 3.1743 -0.8538 2.1265
Cu 0.5453 -0.1593 2.9678
CELL_PARAMETERS angstrom
-0.5877 2.4060 1.8434
-1.7090 -1.8134 1.8229
6.7747 -1.8222 4.5383

=====

(2)
! MgZr2Cu2 PBE optimized geometry; values from VASP
! M_tot = 1.0 μB per formula unit
! Space-group type = No. 139
! E_form = 0.22 eV/atom
&SYSTEM
  ibrav = 0, nat = 5, ntyp = 3
/
ATOMIC_SPECIES
Zr 91.22 Zr.upf
Cu 63.55 Cu.upf
Mg 24.30 Mg.upf
ATOMIC_POSITIONS angstrom
Zr 1.6535 1.6535 2.1676
Zr 3.3070 3.3070 6.7732
Cu 1.6535 3.3070 4.4704
Cu 3.3070 1.6535 4.4704
Mg 0.0000 0.0000 0.0000
CELL_PARAMETERS angstrom
3.3070 0.0000 0.0000
0.0000 3.3070 0.0000
1.6535 1.6535 8.9408

=====

(3)
! MgZr2Cu PBE optimized geometry; values from VASP
! M_tot = 0.0 μB per formula unit
! Space-group type = No. 99
! E_form = -0.08 eV/atom
&SYSTEM
  ibrav = 0, nat = 4, ntyp = 3
/
ATOMIC_SPECIES
Zr 91.22 Zr.upf
Mg 24.30 Mg.upf
Cu 63.55 Cu.upf
ATOMIC_POSITIONS angstrom
Zr 0.0609 0.0231 0.0074
Zr 1.3373 2.4186 1.5848
Mg 4.5193 3.6256 1.9735
Cu 3.7837 1.4352 0.4622
CELL_PARAMETERS angstrom
-1.0593 2.9368 -0.4479
-0.4917 0.2975 3.1013
7.5014 2.8454 0.9163